(1)
Entry from Alexandria via LeMat-Bulk: an optimized crystal structure of CaPbSe4 (PBE).

E_form (uncorrected) ... -0.09 eV/atom

```
6
Lattice="0.0000 4.2152 4.2152 4.2152 0.0000 4.2152 4.2152 4.2152 0.0000" Properties=species:S:1:pos:R:3 pbc="T T T"
Ca 0.0000 0.0000 0.0000
Pb 6.3228 6.3228 6.3228
Se 3.1554 3.1554 3.1554
Se 5.2750 5.2750 3.1554
Se 5.2750 3.1554 5.2750
Se 3.1554 5.2750 5.2750
```

(2)
Entry from Alexandria via LeMat-Bulk: an optimized crystal structure of PaHgSe4 (PBE).

E_form (uncorrected) ... -0.63 eV/atom

```
12
Lattice="6.2723 0.0000 0.0000 0.0000 7.2713 0.0000 -0.4975 0.0000 7.5907" Properties=species:S:1:pos:R:3 pbc="T T T"
Pa 0.0000 0.0000 0.0000
Pa -0.2488 3.6357 3.7954
Hg 2.8874 0.0000 3.7954
Hg 3.1362 3.6357 0.0000
Se 0.2164 1.2901 2.4456
Se -0.0323 2.3456 6.2409
Se 2.4204 4.4532 3.0435
Se 2.1716 6.4538 6.8388
Se 3.6032 0.8175 0.7519
Se 3.3544 2.8181 4.5473
Se 5.8071 4.9258 1.3498
Se 5.5584 5.9813 5.1452
```

(3)
Entry from Alexandria via LeMat-Bulk: an optimized crystal structure of LiBeFe2 (PBE).

E_tot ... -5.50 eV per atom

```
4
Lattice="-1.2333 2.0601 4.1331 1.2333 -2.0601 4.1331 1.2333 2.0601 -4.1331" Properties=species:S:1:pos:R:3 pbc="T T T"
Li 0.0000 0.0000 0.0000
Be 0.0000 0.0000 4.1331
Fe 1.2333 0.0000 2.2336
Fe 0.0000 2.0601 1.8995
```

(4)
Entry from Alexandria via LeMat-Bulk: an optimized crystal structure of BaSb4Cl (PBE).

E_form (uncorrected) ... -0.49 eV/atom

```
6
Lattice="0.0000 4.5663 4.5663 4.5663 0.0000 4.5663 4.5663 4.5663 0.0000" Properties=species:S:1:pos:R:3 pbc="T T T"
Ba 0.0000 0.0000 0.0000
Sb 3.5045 3.5045 3.5045
Sb 5.6280 5.6280 3.5045
Sb 5.6280 3.5045 5.6280
Sb 3.5045 5.6280 5.6280
Cl 6.8494 6.8494 6.8494
```

Number 1: volume 24.97 Å³ per atom, D(E_F) 5.6 states/eV per cell. Number 2: volume 28.85 Å³ per atom, D(E_F) 3.3 states/eV per cell. Number 3: volume 10.50 Å³ per atom, D(E_F) 3.0 states/eV per cell. Number 4: volume 31.74 Å³ per atom, D(E_F) 5.2 states/eV per cell.